# Pt2RhSe

A PBEsol-optimized structure of Pt2RhSe (SCAN, the Alexandria database).

Output
* formation energy without anion corrections: 0.26 eV/atom
* symmetry: Cmm2 (35)

Lattice parameters (Å, degrees): 2.7590 4.7897 9.2702 90.00 90.00 90.00
Positions (direct):
Pt 0.0000 0.0000 0.0000
Pt 0.0000 0.5000 0.2562
Pt 0.5000 0.0000 0.2562
Pt 0.5000 0.5000 0.0000
Rh 0.0000 0.0000 0.5041
Rh 0.5000 0.5000 0.5041
Se 0.0000 0.5000 0.7313
Se 0.5000 0.0000 0.7313

=====

# Pt2RhSe

A PBEsol-optimized structure of Pt2RhSe (SCAN, the Alexandria database).

Output
* formation energy without anion corrections: 0.16 eV/atom
* symmetry: P4mm (99)

Lattice parameters (Å, degrees): 2.8769 2.8769 7.3071 90.00 90.00 90.00
Positions (direct):
Pt 0.0000 0.0000 0.0000
Pt 0.5000 0.5000 0.2602
Rh 0.0000 0.0000 0.5201
Se 0.5000 0.5000 0.7311

=====

# PtRh3Se

A PBEsol-optimized structure of PtRh3Se (SCAN, the Alexandria database).

Output
* formation energy without anion corrections: 0.80 eV/atom
* symmetry: Pm-3m (221)

Lattice parameters (Å, degrees): 4.4313 4.4313 4.4313 90.00 90.00 90.00
Positions (direct):
Pt 0.0000 0.0000 0.0000
Rh 0.0000 0.5000 0.5000
Rh 0.5000 0.0000 0.5000
Rh 0.5000 0.5000 0.0000
Se 0.5000 0.5000 0.5000

=====

# Pt2RhSe

A PBEsol-optimized structure of Pt2RhSe (SCAN, the Alexandria database).

Output
* formation energy without anion corrections: 0.17 eV/atom
* symmetry: Pmmm (47)

Lattice parameters (Å, degrees): 2.7837 4.6135 4.7439 90.00 90.00 90.00
Positions (direct):
Pt 0.0000 0.0000 0.0000
Pt 0.5000 0.5000 0.0000
Rh 0.0000 0.5000 0.5000
Se 0.5000 0.0000 0.5000

=====

# Pt2RhSe

A PBEsol-optimized structure of Pt2RhSe (SCAN, the Alexandria database).

Output
* formation energy without anion corrections: 0.27 eV/atom
* symmetry: Cmmm (65)

Lattice parameters (Å, degrees): 5.4384 7.8730 2.8296 90.00 90.00 90.00
Positions (direct):
Pt 0.2500 0.2500 0.0000
Pt 0.2500 0.7500 0.0000
Pt 0.7500 0.2500 0.0000
Pt 0.7500 0.7500 0.0000
Rh 0.0000 0.0000 0.5000
Rh 0.5000 0.5000 0.5000
Se 0.0000 0.5000 0.5000
Se 0.5000 0.0000 0.5000

=====

# PtRh2Se

A PBEsol-optimized structure of PtRh2Se (SCAN, the Alexandria database).

Output
* formation energy without anion corrections: 0.19 eV/atom
* symmetry: P4mm (99)

Lattice parameters (Å, degrees): 2.8443 2.8443 7.3033 90.00 90.00 90.00
Positions (direct):
Pt 0.0000 0.0000 0.0000
Rh 0.0000 0.0000 0.5000
Rh 0.5000 0.5000 0.2509
Se 0.5000 0.5000 0.7209

=====

# Pt2RhSe

A PBEsol-optimized structure of Pt2RhSe (SCAN, the Alexandria database).

Output
* formation energy without anion corrections: 0.25 eV/atom
* symmetry: P4/mmm (123)

Lattice parameters (Å, degrees): 4.7152 4.7152 2.7531 90.00 90.00 90.00
Positions (direct):
Pt 0.0000 0.5000 0.0000
Pt 0.5000 0.0000 0.0000
Rh 0.0000 0.0000 0.5000
Se 0.5000 0.5000 0.5000

=====

# Pt3Rh2Se10

A PBEsol-optimized structure of Pt3Rh2Se10 (SCAN, the Alexandria database).

Output
* formation energy without anion corrections: -0.47 eV/atom
* symmetry: P-3m1 (164)

Lattice parameters (Å, degrees): 3.7171 3.7171 24.2705 90.00 90.00 120.00
Positions (direct):
Pt 0.0000 0.0000 0.0000
Pt 0.0000 0.0000 0.2021
Pt 0.0000 0.0000 0.7979
Rh 0.0000 0.0000 0.4002
Rh 0.0000 0.0000 0.5998
Se 0.3333 0.6667 0.0532
Se 0.3333 0.6667 0.2559
Se 0.3333 0.6667 0.4522
Se 0.3333 0.6667 0.6497
Se 0.3333 0.6667 0.8507
Se 0.6667 0.3333 0.1493
Se 0.6667 0.3333 0.3503
Se 0.6667 0.3333 0.5478
Se 0.6667 0.3333 0.7441
Se 0.6667 0.3333 0.9468

=====

# Sn3PtRh

A PBEsol-optimized structure of Sn3PtRh (SCAN, the Alexandria database).

Output
* energy of formation from the pure elements: 0.630 eV per atom
* symmetry: Pm-3m (221)

Lattice parameters (Å, degrees): 5.0432 5.0432 5.0432 90.00 90.00 90.00
Positions (direct):
Sn 0.0000 0.0000 0.5000
Sn 0.0000 0.5000 0.0000
Sn 0.5000 0.0000 0.0000
Pt 0.0000 0.0000 0.0000
Rh 0.5000 0.5000 0.5000

=====

# SnPtRh3

A PBEsol-optimized structure of SnPtRh3 (SCAN, the Alexandria database).

Output
* energy of formation from the pure elements: 1.187 eV per atom
* symmetry: Pm-3m (221)

Lattice parameters (Å, degrees): 4.7061 4.7061 4.7061 90.00 90.00 90.00
Positions (direct):
Sn 0.0000 0.0000 0.0000
Pt 0.5000 0.5000 0.5000
Rh 0.0000 0.5000 0.5000
Rh 0.5000 0.0000 0.5000
Rh 0.5000 0.5000 0.0000

=====

# SrPtRh2

A PBEsol-optimized structure of SrPtRh2 (SCAN, the Alexandria database).

Output
* energy above the most stable polymorph in this dataset: 0.0 meV/atom
* energy of formation from the pure elements: -0.017 eV per atom
* symmetry: Pmm2 (25)

Lattice parameters (Å, degrees): 2.8273 3.7276 6.8222 90.00 90.00 90.00
Positions (direct):
Sr 0.0000 0.0000 0.0000
Pt 0.5000 0.5000 0.2974
Rh 0.0000 0.0000 0.5181
Rh 0.5000 0.5000 0.6824

=====

# SrPt3Rh

A PBEsol-optimized structure of SrPt3Rh (SCAN, the Alexandria database).

Output
* energy of formation from the pure elements: 2.181 eV per atom
* symmetry: Pm-3m (221)

Lattice parameters (Å, degrees): 4.9453 4.9453 4.9453 90.00 90.00 90.00
Positions (direct):
Sr 0.0000 0.0000 0.0000
Pt 0.0000 0.0000 0.5000
Pt 0.0000 0.5000 0.0000
Pt 0.5000 0.0000 0.0000
Rh 0.5000 0.5000 0.5000